Dy2Er2Th | PBE-GGA | optimized geometry

The space group is P2/m (No. 10) and the conventional cell measures 5.339, 3.491 and 8.786 Å, with angles of 90.00, 107.64 and 90.00 degrees. Symmetry generates all atoms from Dy at (0.199, 0.000, 0.398), Er at (0.394, 0.500, 0.787) and Th at (0.000, 0.000, 0.000).

The calculation puts the density of states at the Fermi level at 1.27 states/eV per atom. The energy comes out at -5.10 eV/atom. Its distance to the lowest polymorph of the same formula is 0 meV per atom. The volume is 156 Å³/f.u.